{"formula": "BaSrZr2", "functional": "PBE", "state": "relaxed", "dft_energy_ev_per_cell": -17.1, "vol_a3_per_atom": 32.98, "ef_mev_per_atom": 888.8, "sg": "P4/mmm (123)", "cell": [[6.0398, 0.0000, 0.0000], [0.0000, 6.0398, 0.0000], [0.0000, 0.0000, 3.6160]], "species": ["Ba", "Sr", "Zr", "Zr"], "frac_coords": [[0.5000, 0.0000, 0.5000], [0.0000, 0.5000, 0.5000], [0.0000, 0.0000, 0.0000], [0.5000, 0.5000, 0.0000]]}